# 1
Zr2CdIr: single point on PBEsol structure, SCAN.

Results
Total moment (μB per formula unit): 0.00
N(E_F) (states/eV per cell): 3.09
Total DFT energy (no corrections) (eV/atom): -40.808
Energy of formation (eV per formula unit): -0.32

a b c (Å): 3.1401 3.1401 9.4017
angles (deg): 80.39 80.39 60.00
Closest atoms and distances in Å follow each position.
Fractional positions:
Cd 0.5068 0.5068 0.4796  3 Ir 2.87, 3 Zr 3.12, 6 Cd 3.14
Ir 0.2537 0.2537 0.2389  3 Zr 2.67, 3 Cd 2.87
Zr 0.7485 0.7485 0.7544  9 Zr 3.10-3.14, 3 Cd 3.12
Zr 0.9910 0.9910 0.0271  3 Ir 2.67

***

# 2
TaRe: single point on PBEsol structure, SCAN.

Results
Total moment (μB per formula unit): 0.00
N(E_F) (states/eV per cell): 1.81
Total DFT energy (no corrections) (eV/atom): -69.124
Energy of formation (eV per formula unit): -0.57

a b c (Å): 2.7775 4.4779 5.2129
angles (deg): 90.00 100.90 90.00
Closest atoms and distances in Å follow each position.
Fractional positions:
Ta 0.8685 0.2500 0.6321  4 Re 2.70-2.72, 4 Ta 2.78-2.80
Ta 0.1315 0.7500 0.3679  4 Re 2.70-2.72, 4 Ta 2.78-2.80
Re 0.3709 0.2500 0.1296  4 Ta 2.70-2.72, 4 Re 2.78
Re 0.6291 0.7500 0.8704  4 Ta 2.70-2.72, 4 Re 2.78

***

# 3
W3Br: single point on PBEsol structure, SCAN.

Results
Total moment (μB per formula unit): 0.00
N(E_F) (states/eV per cell): 2.79
Total DFT energy (no corrections) (eV/atom): -55.708
Formation energy (no corrections) (meV/atom): 1423

a b c (Å): 4.5076 4.5076 4.5076
angles (deg): 60.00 60.00 60.00
Closest atoms and distances in Å follow each position.
Fractional positions:
Br 0.0000 0.0000 0.0000  8 W 2.76
W 0.2500 0.2500 0.2500  4 W 2.76, 4 Br 2.76
W 0.7500 0.7500 0.7500  4 W 2.76, 4 Br 2.76
W 0.5000 0.5000 0.5000  8 W 2.76

***

# 4
ScSb2P: single point on PBEsol structure, SCAN.

Results
Total moment (μB per formula unit): 0.00
N(E_F) (states/eV per cell): 0.93
Total DFT energy (no corrections) (eV/atom): -25.154
Formation energy (no corrections) (meV/atom): -365

a b c (Å): 3.9731 4.1366 5.9718
angles (deg): 93.09 109.43 90.00
Closest atoms and distances in Å follow each position.
Fractional positions:
Sb 0.7713 0.7420 0.5427  1 P 2.73, 4 Sb 2.84-2.97
Sb 0.2287 0.2580 0.4573  1 P 2.73, 4 Sb 2.84-2.97
P 0.0000 0.0000 0.0000  2 Sb 2.73, 4 Sc 2.87
Sc 0.5000 0.5000 0.0000  4 P 2.87, 2 Sb 3.16

***

# 5
BaY3Zn: single point on PBEsol structure, SCAN.

Results
Total moment (μB per formula unit): 0.00
N(E_F) (states/eV per cell): 5.13
Total DFT energy (no corrections) (eV/atom): -27.254
Energy of formation (eV per formula unit): 0.32

a b c (Å): 5.5412 5.5412 5.5412
angles (deg): 90.00 90.00 90.00
Closest atoms and distances in Å follow each position.
Fractional positions:
Y 0.5000 0.0000 0.0000  2 Zn 2.77
Y 0.0000 0.0000 0.5000  2 Zn 2.77
Y 0.0000 0.5000 0.0000  2 Zn 2.77
Zn 0.0000 0.0000 0.0000  6 Y 2.77
Ba 0.5000 0.5000 0.5000  12 Y 3.92

***

# 6
SrAlTl2: single point on PBEsol structure, SCAN.

Results
Total moment (μB per formula unit): 0.00
N(E_F) (states/eV per cell): 1.80
Total DFT energy (no corrections) (eV/atom): -43.820
Energy of formation (eV per formula unit): -0.54

a b c (Å): 4.7367 4.7367 5.8705
angles (deg): 113.79 113.79 90.00
Closest atoms and distances in Å follow each position.
Fractional positions:
Tl 0.0000 0.0000 0.0000  4 Al 3.35, 4 Tl 3.38, 4 Sr 3.38
Tl 0.7500 0.2500 0.5000  4 Sr 3.35, 4 Al 3.38, 4 Tl 3.38
Sr 0.2500 0.7500 0.5000  8 Tl 3.35-3.38, 4 Al 3.38
Al 0.5000 0.5000 0.0000  8 Tl 3.35-3.38, 4 Sr 3.38

***

# 7
Y3TaAu: single point on PBEsol structure, SCAN.

Results
Total moment (μB per formula unit): 0.00
N(E_F) (states/eV per cell): 3.30
Total DFT energy (no corrections) (eV/atom): -43.282
Energy of formation (eV per formula unit): 2.86

a b c (Å): 5.2923 5.2923 5.2923
angles (deg): 90.00 90.00 90.00
Closest atoms and distances in Å follow each position.
Fractional positions:
Y 0.0000 0.5000 0.0000  2 Ta 2.65
Y 0.5000 0.0000 0.0000  2 Ta 2.65
Y 0.0000 0.0000 0.5000  2 Ta 2.65
Au 0.5000 0.5000 0.5000  12 Y 3.74
Ta 0.0000 0.0000 0.0000  6 Y 2.65

***

# 8
PdC2Br: single point on PBEsol structure, SCAN.

Results
Total moment (μB per formula unit): 0.00
N(E_F) (states/eV per cell): 4.30
Total DFT energy (no corrections) (eV/atom): -16.125
Formation energy (no corrections) (meV/atom): 1983

a b c (Å): 5.4470 5.4470 5.6215
angles (deg): 118.98 118.98 90.00
Closest atoms and distances in Å follow each position.
Fractional positions:
C 0.6250 0.6939 0.7500  2 Pd 1.97
C 0.1250 0.0561 0.7500  2 Pd 1.97
C 0.3061 0.8750 0.2500  2 Pd 1.97
C 0.9439 0.3750 0.2500  2 Pd 1.97
Pd 0.0000 0.0000 0.0000  4 C 1.97
Pd 0.2500 0.7500 0.5000  4 C 1.97
Br 0.5000 0.5000 0.0000  4 C 2.43
Br 0.7500 0.2500 0.5000  4 C 2.43

***

# 9
Mg3C: single point on PBEsol structure, SCAN.

Results
Total moment (μB per formula unit): 0.00
N(E_F) (states/eV per cell): 1.59
Total DFT energy (no corrections) (eV/atom): -5.134
Energy of formation (eV per formula unit): 4.49

a b c (Å): 2.9587 5.1896 5.1896
angles (deg): 116.48 100.96 100.96
Closest atoms and distances in Å follow each position.
Fractional positions:
Mg 0.5000 0.0000 0.5000  2 C 2.73, 6 Mg 2.73-2.96
Mg 0.0000 0.5000 0.5000  6 Mg 2.73-2.96, 2 C 2.73
Mg 0.5000 0.5000 0.0000  6 Mg 2.73-2.96, 2 C 2.73
C 0.0000 0.0000 0.0000  6 Mg 2.73, 2 C 2.96

***

# 10
Ba7Nb4MoO20: single point on PBEsol structure, SCAN.

Results
Total moment (μB per formula unit): 0.00
N(E_F) (states/eV per cell): 0.00
Total DFT energy (no corrections) (eV/atom): -20.802
Formation energy (no corrections) (meV/atom): -3025

a b c (Å): 5.8734 5.8734 16.5775
angles (deg): 90.00 90.00 120.00
Closest atoms and distances in Å follow each position.
Fractional positions:
O 0.1644 0.8356 0.4320  2 Nb 2.00-2.21
O 0.1644 0.3289 0.4320  2 Nb 2.00-2.21
O 0.6791 0.8396 0.1328  1 Nb 1.86
O 0.0067 0.5034 0.2950  1 Nb 1.88
O 0.5041 0.4959 0.7063  1 Nb 1.89
O 0.5041 0.0082 0.7063  1 Nb 1.89
O 0.8313 0.6626 0.8697  1 Mo 1.77
O 0.8313 0.1687 0.8697  1 Mo 1.77
O 0.3333 0.6667 0.9836  1 Nb 1.87
O 0.6711 0.8356 0.4320  2 Nb 2.00-2.21
O 0.3266 0.1633 0.5698  2 Nb 2.04-2.19
O 0.9918 0.4959 0.7063  1 Nb 1.89
O 0.8367 0.6734 0.5698  2 Nb 2.04-2.19
O 0.1604 0.8396 0.1328  1 Nb 1.86
O 0.8367 0.1633 0.5698  2 Nb 2.04-2.19
O 0.6667 0.3333 0.0105  1 Mo 1.77
O 0.4966 0.5034 0.2950  1 Nb 1.88
O 0.4966 0.9933 0.2950  1 Nb 1.88
O 0.1604 0.3209 0.1328  1 Nb 1.86
O 0.3374 0.1687 0.8697  1 Mo 1.77
Ba 0.3333 0.6667 0.5736  12 O 2.80-2.94
Ba 0.0000 0.0000 0.7118  12 O 2.88-3.13
Ba 0.6667 0.3333 0.4256  12 O 2.77-2.95
Ba 0.3333 0.6667 0.8236  4 O 2.61-2.65
Ba 0.6667 0.3333 0.1757  4 O 2.63-2.74
Ba 0.0000 0.0000 0.0065  6 O 2.65-2.84
Ba 0.0000 0.0000 0.2744  12 O 2.86-3.10
Nb 0.6667 0.3333 0.6506  3 O 1.89
Nb 0.3333 0.6667 0.3485  3 O 1.88
Nb 0.0000 0.0000 0.4979  6 O 2.00-2.04
Nb 0.3333 0.6667 0.0964  4 O 1.86-1.87
Mo 0.6667 0.3333 0.9040  4 O 1.77

***

# 11
TlWCl: single point on PBEsol structure, SCAN.

Results
Total moment (μB per formula unit): 4.44
N(E_F) (states/eV per cell): 1.82
Total DFT energy (no corrections) (eV/atom): -48.183
Formation energy (no corrections) (meV/atom): 1825

a b c (Å): 4.8606 4.8606 4.8606
angles (deg): 60.00 60.00 60.00
Closest atoms and distances in Å follow each position.
Fractional positions:
Tl 0.2500 0.2500 0.2500  4 Cl 2.98, 4 W 2.98
Cl 0.5000 0.5000 0.5000  4 Tl 2.98
W 0.0000 0.0000 0.0000  4 Tl 2.98

***

# 12
Ti2Be2Nb: single point on PBEsol structure, SCAN.

Results
Total moment (μB per formula unit): 0.00
N(E_F) (states/eV per cell): 11.44
Total DFT energy (no corrections) (eV/atom): -14.828
Energy of formation (eV per formula unit): -0.25

a b c (Å): 2.9443 6.7956 6.7956
angles (deg): 90.00 90.00 90.00
Closest atoms and distances in Å follow each position.
Fractional positions:
Ti 0.5000 0.3199 0.1801  6 Be 2.47-2.52
Ti 0.5000 0.8199 0.3199  6 Be 2.47-2.52
Ti 0.5000 0.6801 0.8199  6 Be 2.47-2.52
Ti 0.5000 0.1801 0.6801  6 Be 2.47-2.52
Be 0.0000 0.1131 0.3869  1 Be 2.17
Be 0.0000 0.6131 0.1131  1 Be 2.17
Be 0.0000 0.8869 0.6131  1 Be 2.17
Be 0.0000 0.3869 0.8869  1 Be 2.17
Nb 0.0000 0.0000 0.0000  4 Be 2.74, 8 Ti 2.90, 2 Nb 2.94
Nb 0.0000 0.5000 0.5000  4 Be 2.74, 8 Ti 2.90, 2 Nb 2.94

***

# 13
CaRh3F: single point on PBEsol structure, SCAN.

Results
Total moment (μB per formula unit): 3.28
N(E_F) (states/eV per cell): 3.39
Total DFT energy (no corrections) (eV/atom): -22.737
Formation energy (no corrections) (meV/atom): 167

a b c (Å): 4.3015 4.3015 4.3015
angles (deg): 90.00 90.00 90.00
Closest atoms and distances in Å follow each position.
Fractional positions:
Rh 0.5000 0.0000 0.0000  2 F 2.15
Rh 0.0000 0.0000 0.5000  2 F 2.15
Rh 0.0000 0.5000 0.0000  2 F 2.15
F 0.0000 0.0000 0.0000  6 Rh 2.15
Ca 0.5000 0.5000 0.5000  12 Rh 3.04